MnRhIO6 after structural relaxation, computed with PBE+U.

- Symmetry: P-31c (163)
- E: -5.885 eV per atom
- Mass density: 5.76 Mg/m³

Lattice parameters (Å, degrees): 5.212 5.212 9.336 90.00 90.00 120.00
Element x y z (fractional)
Mn 0.000 0.000 0.000
Mn 0.000 0.000 0.500
Rh 0.333 0.667 0.250
Rh 0.667 0.333 0.750
I 0.333 0.667 0.750
I 0.667 0.333 0.250
O 0.011 0.361 0.635
O 0.011 0.650 0.865
O 0.350 0.361 0.865
O 0.350 0.989 0.635
O 0.361 0.011 0.135
O 0.361 0.350 0.365
O 0.639 0.650 0.635
O 0.639 0.989 0.865
O 0.650 0.011 0.365
O 0.650 0.639 0.135
O 0.989 0.350 0.135
O 0.989 0.639 0.365